[1]
ThCuAu: optimized geometry, PBE.

As for the formation energy: -490 meV per atom. As for the polymorph energy (0 for the lowest one): 0.000 eV/atom. Its total energy is -5.421 eV/atom. The volume comes out at 64.4 Å³/f.u. The density of states at the Fermi level is 2.1 states/eV/f.u.

a = 3.5216 Å, b = 4.5948 Å, c = 4.5948 Å
α = 120.00°, β = 90.00°, γ = 90.00°
Positions (direct):
Au1 0.1665 0.0000 0.0000
Cu1 0.1669 0.3333 0.6667
Th1 0.6666 0.6667 0.3333

=====

[2]
TbGd2Ir: optimized geometry, PBE.

As for the formation energy: -289 meV per atom. As for the polymorph energy (0 for the lowest one): 0.064 eV/atom. Its total energy is -10.703 eV/atom. The volume comes out at 121.8 Å³/f.u. The density of states at the Fermi level is 5.5 states/eV/f.u.

a = 3.8678 Å, b = 3.8678 Å, c = 9.6594 Å
α = 78.45°, β = 78.45°, γ = 60.00°
Site moments in Bohr magnetons follow the coordinates.
Positions (direct):
Tb1 0.5000 0.5000 0.5000  -0.09
Gd1 0.2749 0.2749 0.1754  -7.03
Gd2 0.7251 0.7251 0.8246  -7.03
Ir1 0.0000 0.0000 0.0000  0.05